An optimized crystal structure of BeTePb2Cl, computed with PBE.

- Formation energy (no corrections): 0.82 eV/atom
- Magnetic moment: 0.000 μB per atom

Lattice parameters (Å, degrees): 6.1146 6.1146 5.3765 90.00 90.00 90.00
Element x y z (fractional)
Be  0.0000  0.0000  0.0000
Te  0.5000  0.5000  0.5000
Pb  0.0000  0.5000  0.5000
Pb  0.5000  0.0000  0.5000
Cl  0.5000  0.5000  0.0000